Entry 1:
First-principles (GGA-PBE) data for a relaxed TbDy5HoSc2 crystal, as listed in Alexandria via LeMat-Bulk.

Properties
Total magnetization = 0.00 μB per formula unit
Space group = Cmc2_1
Calculated volume = 30.80 Å³/atom
Calculated total energy = -86.76 eV per cell
DOS at the Fermi energy = 13.7 states/eV/f.u.

Lattice parameters (Å, degrees): 5.577 11.030 9.317 90.00 90.00 104.64
Positions (direct):
Tb (0.185, 0.370, 0.018)
Sc (0.887, 0.773, 0.825)
Dy (0.469, 0.937, 0.748)
Ho (0.402, 0.804, 0.420)
Ho (0.598, 0.196, 0.920)
Dy (0.989, 0.978, 0.513)
Dy (0.306, 0.613, 0.719)
Tb (0.815, 0.630, 0.518)
Dy (0.735, 0.470, 0.834)
Dy (0.392, 0.783, 0.046)
Sc (0.865, 0.729, 0.201)
Dy (0.011, 0.022, 0.013)
Sc (0.113, 0.227, 0.325)
Dy (0.608, 0.217, 0.546)
Sc (0.135, 0.271, 0.701)
Dy (0.265, 0.530, 0.334)
Dy (0.531, 0.063, 0.248)
Dy (0.694, 0.387, 0.219)


Entry 2:
First-principles (GGA-PBE) data for a relaxed Sm2CuRh2 crystal, as listed in Alexandria via LeMat-Bulk.

Properties
Total magnetization = 0.00 μB per formula unit
Space group = C2/c
Calculated volume = 20.42 Å³/atom
Calculated total energy = -62.39 eV per cell
DOS at the Fermi energy = 2.0 states/eV/f.u.

Lattice parameters (Å, degrees): 5.442 5.712 7.779 104.16 90.00 118.45
Positions (direct):
Sm (0.504, 0.295, 0.151)
Cu (0.836, 0.000, 0.250)
Rh (0.734, 0.741, 0.493)
Rh (0.993, 0.259, 0.007)
Sm (0.791, 0.295, 0.651)
Cu (0.164, 0.000, 0.750)
Rh (0.266, 0.259, 0.507)
Sm (0.209, 0.705, 0.349)
Rh (0.007, 0.741, 0.993)
Sm (0.496, 0.705, 0.849)


Entry 3:
First-principles (GGA-PBE) data for a relaxed Pr3YPd3 crystal, as listed in Alexandria via LeMat-Bulk.

Properties
Total magnetization = 0.00 μB per formula unit
Space group = C2/m
Calculated volume = 26.74 Å³/atom
Calculated total energy = -81.20 eV per cell
DOS at the Fermi energy = 6.2 states/eV/f.u.

Lattice parameters (Å, degrees): 7.186 7.186 7.312 91.18 91.18 97.23
Positions (direct):
Pr (0.653, 0.653, 0.371)
Pd (0.023, 0.499, 0.282)
Y (0.745, 0.745, 0.875)
Pd (0.501, 0.977, 0.718)
Pd (0.499, 0.023, 0.282)
Pr (0.176, 0.824, 0.500)
Pd (0.977, 0.501, 0.718)
Pr (0.347, 0.347, 0.629)
Y (0.255, 0.255, 0.125)
Pd (0.063, 0.063, 0.813)
Pr (0.253, 0.747, 0.000)
Pd (0.937, 0.937, 0.187)
Pr (0.824, 0.176, 0.500)
Pr (0.747, 0.253, 0.000)